Entry from the Alexandria database: a geometry-optimized NbTl2Sb structure (PBE).

Results
- ΔE to the lowest computed polymorph: 0 meV per atom

Cell: 11.0186 11.0186 5.3494 Å, 90.00 90.00 90.00°
Last column: nearest neighbours and their distance in Å.
Sites, in units of the cell vectors:
Nb (0.0000, 0.0000, 0.0000)  2 Sb 2.67, 4 Tl 2.83
Nb (0.0000, 0.5000, 0.2500)  2 Sb 2.67, 4 Tl 2.83
Nb (0.5000, 0.0000, 0.7500)  2 Sb 2.67, 4 Tl 2.83
Nb (0.5000, 0.5000, 0.5000)  2 Sb 2.67, 4 Tl 2.83
Tl (0.0013, 0.7500, 0.1250)  2 Nb 2.83
Tl (0.2500, 0.0013, 0.8750)  2 Nb 2.83
Tl (0.2500, 0.4987, 0.3750)  2 Nb 2.83
Tl (0.4987, 0.7500, 0.6250)  2 Nb 2.83
Tl (0.5013, 0.2500, 0.6250)  2 Nb 2.83
Tl (0.7500, 0.5013, 0.3750)  2 Nb 2.83
Tl (0.7500, 0.9987, 0.8750)  2 Nb 2.83
Tl (0.9987, 0.2500, 0.1250)  2 Nb 2.83
Sb (0.0000, 0.0000, 0.5000)  2 Nb 2.67
Sb (0.0000, 0.5000, 0.7500)  2 Nb 2.67
Sb (0.5000, 0.0000, 0.2500)  2 Nb 2.67
Sb (0.5000, 0.5000, 0.0000)  2 Nb 2.67


Entry from the Alexandria database: a geometry-optimized NbTlSb2 structure (PBE).

Results
- ΔE to the lowest computed polymorph: 425 meV per atom

Cell: 6.8189 6.8189 13.0762 Å, 90.00 90.00 90.00°
Last column: nearest neighbours and their distance in Å.
Sites, in units of the cell vectors:
Nb (0.0000, 0.0000, 0.0000)  4 Sb 2.68
Nb (0.0000, 0.5000, 0.2500)  4 Sb 2.68
Nb (0.5000, 0.0000, 0.7500)  4 Sb 2.68
Nb (0.5000, 0.5000, 0.5000)  4 Sb 2.68
Tl (0.0000, 0.0000, 0.5000)  4 Sb 3.19
Tl (0.0000, 0.5000, 0.7500)  4 Sb 3.19
Tl (0.5000, 0.0000, 0.2500)  4 Sb 3.19
Tl (0.5000, 0.5000, 0.0000)  4 Sb 3.19
Sb (0.1854, 0.2500, 0.1250)  2 Nb 2.68
Sb (0.2500, 0.6854, 0.3750)  2 Nb 2.68
Sb (0.2500, 0.8146, 0.8750)  2 Nb 2.68
Sb (0.3146, 0.2500, 0.6250)  2 Nb 2.68
Sb (0.6854, 0.7500, 0.6250)  2 Nb 2.68
Sb (0.7500, 0.1854, 0.8750)  2 Nb 2.68
Sb (0.7500, 0.3146, 0.3750)  2 Nb 2.68
Sb (0.8146, 0.7500, 0.1250)  2 Nb 2.68


Entry from the Alexandria database: a geometry-optimized ZrNbTlSb2 structure (PBE).

Results
- VASP energy: -0.3211 Ry per atom

Cell: 5.5014 5.5014 5.2061 Å, 90.00 90.00 90.00°
Last column: nearest neighbours and their distance in Å.
Sites, in units of the cell vectors:
Zr (0.0000, 0.0000, 0.0000)  8 Sb 3.79, 4 Nb 3.89
Nb (0.5000, 0.5000, 0.0000)  2 Tl 2.60
Tl (0.5000, 0.5000, 0.5000)  2 Nb 2.60, 4 Sb 2.75
Sb (0.0000, 0.5000, 0.5000)  2 Tl 2.75
Sb (0.5000, 0.0000, 0.5000)  2 Tl 2.75


Volume for every record listed, in sequence, given in Å³ per cell: 649.5 608.0 157.6.